No. 1
PBE-GGA BaTiPtAu2, optimized geometry; spin magnetization = 0.585 μB/f.u.; SG = P4/mmm, No. 123; energy of formation from the pure elements = -1.591 eV per formula unit; crystal system = tetragonal; energy = -4.80 eV/atom
1.0
5.160 0.000 0.000
0.000 4.903 0.000
0.000 0.000 5.160
Au Ba Pt Ti
2 1 1 1
Direct
0.000 0.000 0.500
0.500 0.000 0.000
0.500 0.500 0.500
0.000 0.500 0.000
0.000 0.000 0.000

=====

No. 2
PBE-GGA Ba2TlPtAu, optimized geometry; spin magnetization = 0.000 μB/f.u.; SG = P4/mmm, No. 123; energy of formation from the pure elements = -2.188 eV per formula unit; crystal system = tetragonal; energy = -3.54 eV/atom
1.0
6.107 0.000 0.000
0.000 6.107 0.000
0.000 0.000 5.218
Tl Au Ba Pt
1 1 2 1
Direct
0.000 0.000 0.500
0.500 0.500 0.500
0.000 0.500 0.000
0.500 0.000 0.000
0.000 0.000 0.000

=====

No. 3
PBE-GGA BaTl2PtAu, optimized geometry; spin magnetization = 0.000 μB/f.u.; SG = P4/mmm, No. 123; energy of formation from the pure elements = -1.310 eV per formula unit; crystal system = tetragonal; energy = -3.46 eV/atom
1.0
-1.222 4.764 1.902
-0.554 -2.066 4.820
5.271 0.948 1.012
Tl Au Ba Pt
2 1 1 1
Direct
0.000 0.500 0.000
0.500 0.000 0.000
0.000 0.000 0.500
0.500 0.500 0.500
0.000 0.000 0.000

=====

No. 4
PBE-GGA Ba6Tl2PtAu, optimized geometry; spin magnetization = 0.002 μB/f.u.; SG = P2_1/c, No. 14; energy of formation from the pure elements = -4.805 eV per formula unit; crystal system = monoclinic; energy = -3.04 eV/atom
1.0
8.172 0.000 -0.003
0.000 9.106 0.000
0.066 0.000 12.144
Ba Tl Pt Au
12 4 2 2
Direct
0.318 0.678 0.062
0.818 0.822 0.562
0.682 0.322 0.938
0.182 0.178 0.438
0.332 0.693 0.436
0.832 0.807 0.936
0.668 0.307 0.564
0.168 0.193 0.064
0.874 0.533 0.243
0.374 0.967 0.743
0.126 0.467 0.757
0.626 0.033 0.257
0.043 0.896 0.249
0.543 0.604 0.749
0.957 0.104 0.751
0.457 0.396 0.251
0.500 0.000 0.500
0.000 0.500 0.000
0.500 0.000 0.000
0.000 0.500 0.500

=====

No. 5
PBE-GGA BaTlPtAu2, optimized geometry; spin magnetization = 0.000 μB/f.u.; SG = Imm2, No. 44; energy of formation from the pure elements = -2.167 eV per formula unit; crystal system = orthorhombic; energy = -3.81 eV/atom
1.0
-3.601 2.470 -0.756
-1.062 -2.675 -3.678
-1.003 -3.632 5.897
Ba Tl Pt Au
1 1 1 2
Direct
0.435 0.435 0.869
0.192 0.692 0.384
0.834 0.834 0.667
0.703 0.203 0.407
0.048 0.048 0.097

=====

No. 6
PBE-GGA BaTl2PtAu, optimized geometry; spin magnetization = 0.000 μB/f.u.; SG = P4/mmm, No. 123; energy of formation from the pure elements = -1.292 eV per formula unit; crystal system = tetragonal; energy = -3.45 eV/atom
1.0
5.287 0.000 0.000
0.000 5.287 0.000
0.000 0.000 6.136
Tl Au Ba Pt
2 1 1 1
Direct
0.000 0.500 0.000
0.500 0.000 0.000
0.500 0.500 0.500
0.000 0.000 0.500
0.000 0.000 0.000

=====

No. 7
PBE-GGA Ba2Zn4Pt3Au, optimized geometry; spin magnetization = 0.000 μB/f.u.; SG = P-4m2, No. 115; energy of formation from the pure elements = -5.950 eV per formula unit; crystal system = tetragonal; energy = -3.63 eV/atom
1.0
4.622 0.000 0.000
0.000 4.622 0.000
0.000 0.000 10.261
Ba Zn Pt Au
2 4 3 1
Direct
0.500 0.000 0.252
0.000 0.500 0.748
0.500 0.500 0.000
0.000 0.000 0.000
0.500 0.000 0.624
0.000 0.500 0.376
0.000 0.000 0.500
0.500 0.000 0.878
0.000 0.500 0.122
0.500 0.500 0.500

=====

No. 8
PBE-GGA Ba2Zn3PtAu12, optimized geometry; spin magnetization = 0.000 μB/f.u.; SG = R-3m, No. 166; energy of formation from the pure elements = -3.897 eV per formula unit; crystal system = trigonal; energy = -3.16 eV/atom
1.0
-2.600 -7.028 7.181
4.324 -5.540 7.637
-0.458 -1.033 10.317
Ba Zn Pt Au
2 3 1 12
Direct
0.652 0.652 0.652
0.348 0.348 0.348
0.500 0.000 0.000
0.000 0.500 0.000
0.000 0.000 0.500
0.000 0.000 0.000
0.410 0.410 0.813
0.936 0.936 0.348
0.348 0.936 0.936
0.813 0.410 0.410
0.936 0.348 0.936
0.410 0.813 0.410
0.590 0.590 0.187
0.064 0.064 0.652
0.652 0.064 0.064
0.187 0.590 0.590
0.064 0.652 0.064
0.590 0.187 0.590

=====

No. 9
PBE-GGA Ba2ZnPtAu, optimized geometry; spin magnetization = 0.000 μB/f.u.; SG = P2_1/m, No. 11; energy of formation from the pure elements = -3.096 eV per formula unit; crystal system = monoclinic; energy = -3.51 eV/atom
1.0
4.693 0.000 0.000
0.000 8.621 0.129
0.000 -3.383 7.469
Ba Zn Pt Au
4 2 2 2
Direct
0.750 0.835 0.635
0.750 0.720 0.073
0.250 0.165 0.365
0.250 0.280 0.927
0.250 0.580 0.700
0.750 0.420 0.300
0.250 0.894 0.928
0.750 0.106 0.072
0.250 0.586 0.340
0.750 0.414 0.660

=====

No. 10
PBE-GGA Ba2ZnPtAu, optimized geometry; spin magnetization = 0.000 μB/f.u.; SG = P4/mmm, No. 123; energy of formation from the pure elements = -2.541 eV per formula unit; crystal system = tetragonal; energy = -3.40 eV/atom
1.0
-1.484 -4.753 -3.448
-0.983 -3.305 4.979
-4.651 1.430 0.031
Zn Au Ba Pt
1 1 2 1
Direct
0.000 0.000 0.500
0.500 0.500 0.500
0.000 0.500 0.000
0.500 0.000 0.000
0.000 0.000 0.000

=====

No. 11
PBE-GGA Ba2ZnPtAu6, optimized geometry; spin magnetization = 0.000 μB/f.u.; SG = C2/m, No. 12; energy of formation from the pure elements = -4.850 eV per formula unit; crystal system = monoclinic; energy = -3.57 eV/atom
1.0
-6.764 6.203 0.318
-0.602 -0.940 5.530
-0.388 6.082 3.869
Ba Zn Pt Au
2 1 1 6
Direct
0.682 0.231 0.539
0.318 0.769 0.461
0.000 0.000 0.000
0.500 0.500 0.000
0.119 0.249 0.502
0.777 0.762 0.968
0.222 0.730 0.032
0.778 0.270 0.968
0.223 0.238 0.032
0.881 0.751 0.498

=====

No. 12
PBE-GGA BaZn2PtAu, optimized geometry; spin magnetization = 0.000 μB/f.u.; SG = P4/mmm, No. 123; energy of formation from the pure elements = -2.298 eV per formula unit; crystal system = tetragonal; energy = -3.22 eV/atom
1.0
4.855 0.000 0.000
0.000 4.855 0.000
0.000 0.000 5.419
Zn Au Ba Pt
2 1 1 1
Direct
0.000 0.500 0.000
0.500 0.000 0.000
0.000 0.000 0.500
0.500 0.500 0.500
0.000 0.000 0.000

=====

No. 13
PBE-GGA BaZnPtAu2, optimized geometry; spin magnetization = 0.000 μB/f.u.; SG = P4/mmm, No. 123; energy of formation from the pure elements = -2.025 eV per formula unit; crystal system = tetragonal; energy = -3.56 eV/atom
1.0
5.286 0.000 0.000
0.000 4.798 0.000
0.000 0.000 5.286
Zn Au Ba Pt
1 2 1 1
Direct
0.000 0.500 0.000
0.000 0.000 0.500
0.500 0.000 0.000
0.500 0.500 0.500
0.000 0.000 0.000

=====

No. 14
PBE-GGA BaZr2PtAu, optimized geometry; spin magnetization = 1.791 μB/f.u.; SG = P4/mmm, No. 123; energy of formation from the pure elements = 0.893 eV per formula unit; crystal system = tetragonal; energy = -5.49 eV/atom
1.0
-1.797 0.285 4.768
-5.729 -1.520 -2.069
1.060 -4.943 0.695
Zr Au Ba Pt
2 1 1 1
Direct
0.000 0.000 0.500
0.500 0.000 0.000
0.500 0.500 0.500
0.000 0.500 0.000
0.000 0.000 0.000

=====

No. 15
PBE-GGA BaPuAu10, optimized geometry; spin magnetization = 6.076 μB/f.u.; SG = Pmmm, No. 47; energy of formation from the pure elements = -3.874 eV per formula unit; crystal system = orthorhombic; energy = -4.41 eV/atom
1.0
4.670 0.000 0.000
0.000 5.684 0.000
0.000 0.000 9.983
Ba Pu Au
1 1 10
Direct
0.000 0.500 0.500
0.000 0.000 0.000
0.000 0.000 0.321
0.000 0.500 0.842
0.000 0.500 0.158
0.000 0.000 0.679
0.500 0.000 0.500
0.500 0.500 0.000
0.500 0.248 0.244
0.500 0.752 0.756
0.500 0.752 0.244
0.500 0.248 0.756

=====

No. 16
PBE-GGA Ba2PuAu, optimized geometry; spin magnetization = 6.899 μB/f.u.; SG = R-3m, No. 166; energy of formation from the pure elements = 0.718 eV per formula unit; crystal system = trigonal; energy = -5.18 eV/atom
1.0
-0.759 -2.415 -3.232
3.044 -1.025 -2.557
3.097 -10.768 4.709
Au Ba Pu
1 2 1
Direct
0.500 0.500 0.500
0.105 0.105 0.685
0.895 0.895 0.315
0.000 0.000 0.000

=====

No. 17
PBE-GGA BaPuAu, optimized geometry; spin magnetization = 6.511 μB/f.u.; SG = P4/nmm, No. 129; energy of formation from the pure elements = -1.014 eV per formula unit; crystal system = tetragonal; energy = -6.85 eV/atom
1.0
-1.843 -4.013 -0.457
0.776 0.141 -4.369
9.005 -4.301 1.462
Ba Au Pu
2 2 2
Direct
0.000 0.500 0.843
0.500 0.000 0.157
0.000 0.500 0.279
0.500 0.000 0.721
0.500 0.500 0.500
0.000 0.000 0.500

=====

No. 18
PBE-GGA BaPuAu2, optimized geometry; spin magnetization = 6.217 μB/f.u.; SG = Fm-3m, No. 225; energy of formation from the pure elements = -1.577 eV per formula unit; crystal system = cubic; energy = -6.10 eV/atom
1.0
-3.157 -2.721 -3.494
1.484 -0.465 -5.211
1.619 -4.813 -1.947
Au Ba Pu
2 1 1
Direct
0.250 0.250 0.250
0.750 0.750 0.750
0.500 0.500 0.500
0.000 0.000 0.000

=====

No. 19
PBE-GGA BaPuAu2, optimized geometry; spin magnetization = 6.036 μB/f.u.; SG = R3m, No. 160; energy of formation from the pure elements = -1.596 eV per formula unit; crystal system = trigonal; energy = -6.10 eV/atom
1.0
-1.261 -0.294 4.214
-2.931 -3.060 1.216
4.352 -6.079 3.184
Ba Pu Au
1 1 2
Direct
0.497 0.497 0.510
0.669 0.669 0.993
0.071 0.071 0.787
0.263 0.263 0.210

=====

No. 20
PBE-GGA BaPu2Au6, optimized geometry; spin magnetization = 11.623 μB/f.u.; SG = C2/m, No. 12; energy of formation from the pure elements = -4.229 eV per formula unit; crystal system = monoclinic; energy = -6.05 eV/atom
1.0
-0.376 2.412 3.005
-7.628 -2.379 0.954
6.222 -5.309 2.569
Ba Pu Au
1 2 6
Direct
0.000 0.000 0.000
0.861 0.360 0.719
0.139 0.640 0.281
0.678 0.375 0.359
0.322 0.625 0.641
0.322 0.016 0.641
0.500 0.673 0.000
0.500 0.327 0.000
0.678 0.984 0.359